Computed, not measured: an optimized crystal structure of Pm2MnAgO5 at the PBE+U level of DFT.

a b c (Å): 6.7199 6.7199 5.7243
angles (deg): 90.00 90.00 90.00
Element x y z (fractional)
Pm (0.1776, 0.3224, 0.0000)
Pm (0.3224, 0.8224, 0.0000)
Pm (0.6776, 0.1776, 0.0000)
Pm (0.8224, 0.6776, 0.0000)
Mn (0.0000, 0.5000, 0.5000)
Mn (0.5000, 0.0000, 0.5000)
Ag (0.0000, 0.0000, 0.5000)
Ag (0.5000, 0.5000, 0.5000)
O (0.0000, 0.0000, 0.0000)
O (0.1340, 0.6340, 0.2553)
O (0.1340, 0.6340, 0.7447)
O (0.3660, 0.1340, 0.2553)
O (0.3660, 0.1340, 0.7447)
O (0.5000, 0.5000, 0.0000)
O (0.6340, 0.8660, 0.2553)
O (0.6340, 0.8660, 0.7447)
O (0.8660, 0.3660, 0.2553)
O (0.8660, 0.3660, 0.7447)

final energy	-7.165	eV/atom
M_tot	4.0	μB/f.u.
space-group type	P4/mbm